Record 1
Here is a relaxed structure of Mg2BeW from Alexandria via LeMat-Bulk. Energies are from GGA-PBE. Values from VASP.

The structure in Quantum ESPRESSO input format:
```
&SYSTEM
  ibrav = 0, nat = 4, ntyp = 3
/
ATOMIC_SPECIES
Mg 24.30 Mg.upf
Be 9.01 Be.upf
W 183.84 W.upf
CELL_PARAMETERS angstrom
0.000 3.161 3.161
3.161 0.000 3.161
3.161 3.161 0.000
ATOMIC_POSITIONS angstrom
Mg 0.000 0.000 0.000
Mg 1.581 1.581 1.581
Be 3.161 3.161 3.161
W 4.742 4.742 4.742
```

Computed properties:
Total energy (eV/atom): -4.276
ΔH_f (0 K) (eV per atom): 0.692
Symmetry: F-43m, No. 216
Theoretical density (g cm⁻³): 6.35

Record 2
Here is a relaxed structure of MgBe3W from Alexandria via LeMat-Bulk. Energies are from GGA-PBE. Values from VASP.

The structure in Quantum ESPRESSO input format:
```
&SYSTEM
  ibrav = 0, nat = 5, ntyp = 3
/
ATOMIC_SPECIES
Mg 24.30 Mg.upf
Be 9.01 Be.upf
W 183.84 W.upf
CELL_PARAMETERS angstrom
4.386 0.000 0.000
0.000 4.386 0.000
0.000 0.000 4.386
ATOMIC_POSITIONS angstrom
Mg 0.000 0.000 0.000
Be 0.000 2.193 2.193
Be 2.193 0.000 2.193
Be 2.193 2.193 0.000
W 2.193 2.193 2.193
```

Computed properties:
Total energy (eV/atom): -3.970
ΔH_f (0 K) (eV per atom): 1.176
Energy above the most stable polymorph in this dataset (meV/atom): 0
Symmetry: Pm-3m, No. 221
Theoretical density (g cm⁻³): 4.63

Record 3
Here is a relaxed structure of MgBe4W from Alexandria via LeMat-Bulk. Energies are from GGA-PBE. Values from VASP.

The structure in Quantum ESPRESSO input format:
```
&SYSTEM
  ibrav = 0, nat = 6, ntyp = 3
/
ATOMIC_SPECIES
Mg 24.30 Mg.upf
Be 9.01 Be.upf
W 183.84 W.upf
CELL_PARAMETERS angstrom
0.000 3.197 3.197
3.197 0.000 3.197
3.197 3.197 0.000
ATOMIC_POSITIONS angstrom
Mg 0.000 0.000 0.000
Be 2.425 2.425 2.425
Be 3.969 3.969 2.425
Be 3.969 2.425 3.969
Be 2.425 3.969 3.969
W 4.796 4.796 4.796
```

Computed properties:
Total energy (eV/atom): -4.752
ΔH_f (0 K) (eV per atom): 0.157
Symmetry: F-43m, No. 216
Theoretical density (g cm⁻³): 6.20

Record 4
Here is a relaxed structure of MgBeW from Alexandria via LeMat-Bulk. Energies are from GGA-PBE. Values from VASP.

The structure in Quantum ESPRESSO input format:
```
&SYSTEM
  ibrav = 0, nat = 3, ntyp = 3
/
ATOMIC_SPECIES
Mg 24.30 Mg.upf
Be 9.01 Be.upf
W 183.84 W.upf
CELL_PARAMETERS angstrom
2.809 0.000 0.000
-1.405 2.433 0.000
0.000 0.000 6.706
ATOMIC_POSITIONS angstrom
Mg 0.000 0.000 0.000
Be 1.405 0.811 4.460
W 0.000 1.622 2.480
```

Computed properties:
Total energy (eV/atom): -5.601
ΔH_f (0 K) (eV per atom): 0.490
Energy above the most stable polymorph in this dataset (meV/atom): 132
Symmetry: P3m1, No. 156
Theoretical density (g cm⁻³): 7.87

Record 5
Here is a relaxed structure of MgBe3W from Alexandria via LeMat-Bulk. Energies are from GGA-PBE. Values from VASP.

The structure in Quantum ESPRESSO input format:
```
&SYSTEM
  ibrav = 0, nat = 5, ntyp = 3
/
ATOMIC_SPECIES
Mg 24.30 Mg.upf
Be 9.01 Be.upf
W 183.84 W.upf
CELL_PARAMETERS angstrom
4.036 0.000 0.000
0.000 4.036 0.000
0.000 0.000 4.036
ATOMIC_POSITIONS angstrom
Mg 0.000 0.000 0.000
Be 0.000 0.000 2.018
Be 0.000 2.018 0.000
Be 2.018 0.000 0.000
W 2.018 2.018 2.018
```

Computed properties:
Total energy (eV/atom): -3.436
ΔH_f (0 K) (eV per atom): 1.710
Energy above the most stable polymorph in this dataset (meV/atom): 534
Symmetry: Pm-3m, No. 221
Theoretical density (g cm⁻³): 5.94

Record 6
Here is a relaxed structure of Mg2BeW from Alexandria via LeMat-Bulk. Energies are from GGA-PBE. Values from VASP.

The structure in Quantum ESPRESSO input format:
```
&SYSTEM
  ibrav = 0, nat = 4, ntyp = 3
/
ATOMIC_SPECIES
Mg 24.30 Mg.upf
Be 9.01 Be.upf
W 183.84 W.upf
CELL_PARAMETERS angstrom
1.445 0.834 9.214
-1.445 0.834 9.214
0.000 -1.669 9.214
ATOMIC_POSITIONS angstrom
Mg 0.000 0.000 0.000
Mg 0.000 0.000 6.474
Be 0.000 0.000 20.598
W 0.000 0.000 13.301
```

Computed properties:
Total energy (eV/atom): -4.549
ΔH_f (0 K) (eV per atom): 0.418
Symmetry: R3m, No. 160
Theoretical density (g cm⁻³): 6.02

Record 7
Here is a relaxed structure of Mg2BeW from Alexandria via LeMat-Bulk. Energies are from GGA-PBE. Values from VASP.

The structure in Quantum ESPRESSO input format:
```
&SYSTEM
  ibrav = 0, nat = 4, ntyp = 3
/
ATOMIC_SPECIES
Mg 24.30 Mg.upf
Be 9.01 Be.upf
W 183.84 W.upf
CELL_PARAMETERS angstrom
-1.427 2.258 4.702
1.427 -2.258 4.702
1.427 2.258 -4.702
ATOMIC_POSITIONS angstrom
Mg 0.000 0.000 2.071
Mg 0.000 0.000 7.332
Be 1.427 0.000 0.000
W 0.000 2.258 0.000
```

Computed properties:
Total energy (eV/atom): -4.554
ΔH_f (0 K) (eV per atom): 0.413
Symmetry: Immm, No. 71
Theoretical density (g cm⁻³): 6.62

Record 8
Here is a relaxed structure of MgBeW from Alexandria via LeMat-Bulk. Energies are from GGA-PBE. Values from VASP.

The structure in Quantum ESPRESSO input format:
```
&SYSTEM
  ibrav = 0, nat = 3, ntyp = 3
/
ATOMIC_SPECIES
Mg 24.30 Mg.upf
Be 9.01 Be.upf
W 183.84 W.upf
CELL_PARAMETERS angstrom
0.000 2.994 2.994
2.994 0.000 2.994
2.994 2.994 0.000
ATOMIC_POSITIONS angstrom
Mg 0.000 0.000 0.000
Be 2.994 2.994 2.994
W 1.497 1.497 1.497
```

Computed properties:
Total energy (eV/atom): -4.544
ΔH_f (0 K) (eV per atom): 1.548
Energy above the most stable polymorph in this dataset (meV/atom): 1190
Symmetry: F-43m, No. 216
Theoretical density (g cm⁻³): 6.72